A plane-wave DFT calculation with PBE was carried out for a geometry-optimized PPtSCl2 structure.

```
PPtSCl2
1.0
-0.5549 1.5792 4.1309
4.3360 -2.1849 1.4177
2.2270 3.6967 -1.1141
Cl Pt P S
2 1 1 1
Direct
0.0000 0.0000 0.5000
0.5000 0.0000 0.0000
0.5000 0.5000 0.5000
0.0000 0.0000 0.0000
0.0000 0.5000 0.0000
```

Calculated values
The value obtained for the raw total energy is -3.13 eV per atom. The value obtained for the volume is 20.1 Å³/atom. The density is 5.4 Mg/m³. The calculation puts the size of the total moment at 0.388 μB per cell. The raw formation energy is 3.60 eV/f.u. The polymorph energy (0 for the lowest one) is 0.132 eV/atom.